# 1
! PBE Ce5Tl5Pb, optimized geometry; values from VASP
&SYSTEM
  ibrav = 0, nat = 11, ntyp = 3
/
ATOMIC_SPECIES
Ce 140.12 Ce.upf
Tl 204.38 Tl.upf
Pb 207.20 Pb.upf
CELL_PARAMETERS angstrom
-1.373 -5.875 -0.169
9.829 0.787 0.570
-2.483 0.410 5.922
ATOMIC_POSITIONS crystal
Ce 0.834 0.668 0.054
Ce 0.834 0.668 0.615
Ce 0.500 0.000 0.000
Ce 0.166 0.332 0.385
Ce 0.166 0.332 0.946
Tl 0.681 0.361 0.180
Tl 0.637 0.274 0.637
Tl 0.000 0.000 0.500
Tl 0.363 0.726 0.363
Tl 0.319 0.639 0.820
Pb 0.000 0.000 0.000
! * VASP energy: -46.289 eV for the cell shown
! * total magnetic moment: 4.8 μB per formula unit
! * ρ: 9.338 Mg/m³
! * energy relative to the elements: -0.098 eV/atom

# 2
! PBE AcTl, optimized geometry; values from VASP
&SYSTEM
  ibrav = 0, nat = 2, ntyp = 2
/
ATOMIC_SPECIES
Ac 227.00 Ac.upf
Tl 204.38 Tl.upf
CELL_PARAMETERS angstrom
-4.848 -0.050 -0.295
-2.179 -2.043 -3.831
-2.423 -4.177 0.526
ATOMIC_POSITIONS crystal
Ac 0.500 0.500 0.500
Tl 0.000 0.000 0.000
! * VASP energy: -6.666 eV for the cell shown
! * total magnetic moment: 0.0 μB per formula unit
! * ρ: 8.838 Mg/m³
! * energy relative to the elements: -0.096 eV/atom

# 3
! PBE GdHoCuIr, optimized geometry; values from VASP
&SYSTEM
  ibrav = 0, nat = 4, ntyp = 4
/
ATOMIC_SPECIES
Gd 157.25 Gd.upf
Ir 192.22 Ir.upf
Ho 164.93 Ho.upf
Cu 63.55 Cu.upf
CELL_PARAMETERS angstrom
-1.958 1.472 4.228
-2.204 -3.231 2.928
2.080 -1.278 4.232
ATOMIC_POSITIONS crystal
Gd 0.250 0.250 0.250
Ir 0.000 0.000 0.000
Ho 0.750 0.750 0.750
Cu 0.500 0.500 0.500
! * VASP energy: -33.895 eV for the cell shown
! * total magnetic moment: 7.1 μB per formula unit
! * ρ: 11.635 Mg/m³
! * energy relative to the elements: -0.570 eV/atom

# 4
! PBE CsNa3Sc, optimized geometry; values from VASP
&SYSTEM
  ibrav = 0, nat = 5, ntyp = 3
/
ATOMIC_SPECIES
Cs 132.91 Cs.upf
Sc 44.96 Sc.upf
Na 22.99 Na.upf
CELL_PARAMETERS angstrom
6.251 0.000 0.000
0.000 6.251 0.000
0.000 0.000 6.251
ATOMIC_POSITIONS crystal
Cs 0.000 0.000 0.000
Sc 0.500 0.500 0.500
Na 0.000 0.500 0.000
Na 0.000 0.000 0.500
Na 0.500 0.000 0.000
! * VASP energy: -6.198 eV for the cell shown
! * total magnetic moment: 1.8 μB per formula unit
! * ρ: 1.678 Mg/m³
! * energy relative to the elements: 0.989 eV/atom
! * offset from the most stable computed form: 2.02 eV/f.u.

# 5
! PBE LaZnAsBr, optimized geometry; values from VASP
&SYSTEM
  ibrav = 0, nat = 8, ntyp = 4
/
ATOMIC_SPECIES
La 138.91 La.upf
Zn 65.41 Zn.upf
As 74.92 As.upf
Br 79.90 Br.upf
CELL_PARAMETERS angstrom
-2.883 -1.300 -3.007
-1.105 -4.212 -0.286
-11.704 0.272 7.934
ATOMIC_POSITIONS crystal
La 0.080 0.080 0.761
La 0.920 0.920 0.239
Zn 0.692 0.692 0.925
Zn 0.308 0.308 0.075
As 0.630 0.630 0.110
As 0.370 0.370 0.890
Br 0.790 0.790 0.631
Br 0.210 0.210 0.369
! * formation energy without anion corrections: -25.30 kcal/mol of atoms
! * VASP energy: -33.824 eV for the cell shown
! * total magnetic moment: 0.0 μB per formula unit
! * ρ: 5.196 Mg/m³

# 6
! PBE SrCaY2, optimized geometry; values from VASP
&SYSTEM
  ibrav = 0, nat = 8, ntyp = 3
/
ATOMIC_SPECIES
Y 88.91 Y.upf
Sr 87.62 Sr.upf
Ca 40.08 Ca.upf
CELL_PARAMETERS angstrom
-4.256 2.335 -8.032
-1.084 -9.090 -2.068
-5.750 -3.381 -3.419
ATOMIC_POSITIONS crystal
Y 0.617 0.125 0.250
Y 0.133 0.625 0.250
Y 0.375 0.383 0.750
Y 0.875 0.867 0.750
Sr 0.000 0.000 0.000
Sr 0.750 0.250 0.500
Ca 0.500 0.500 0.000
Ca 0.250 0.750 0.500
! * VASP energy: -29.190 eV for the cell shown
! * total magnetic moment: 1.3 μB per formula unit
! * ρ: 3.305 Mg/m³
! * energy relative to the elements: 0.504 eV/atom
! * offset from the most stable computed form: 1.68 eV/f.u.